[1]
Entry from OQMD: a relaxed AlFe2Pb crystal (PBE-GGA).

magnetic moment: 16.5 Bohr magnetons per cell

a = 6.3315 Å, b = 6.3315 Å, c = 6.3315 Å
α = 90.00°, β = 90.00°, γ = 90.00°
Sites, in units of the cell vectors:
Al  0.0000  0.0000  0.0000
Al  0.0000  0.0000  0.5000
Al  0.0000  0.5000  0.0000
Al  0.5000  0.0000  0.0000
Fe  0.2154  0.2154  0.2154
Fe  0.2154  0.2154  0.7846
Fe  0.2154  0.7846  0.2154
Fe  0.2154  0.7846  0.7846
Fe  0.7846  0.2154  0.2154
Fe  0.7846  0.2154  0.7846
Fe  0.7846  0.7846  0.2154
Fe  0.7846  0.7846  0.7846
Pb  0.0000  0.5000  0.5000
Pb  0.5000  0.0000  0.5000
Pb  0.5000  0.5000  0.0000
Pb  0.5000  0.5000  0.5000

[2]
Entry from OQMD: a relaxed Lu2SnAu crystal (PBE-GGA).

magnetic moment: 0.0 Bohr magnetons per cell

a = 5.1480 Å, b = 5.1480 Å, c = 5.1480 Å
α = 60.00°, β = 60.00°, γ = 60.00°
Sites, in units of the cell vectors:
Lu  0.0000  0.0000  0.0000
Lu  0.2500  0.2500  0.2500
Sn  0.5000  0.5000  0.5000
Au  0.7500  0.7500  0.7500

[3]
Entry from OQMD: a relaxed KNbTe2AuSe crystal (PBE-GGA).

magnetic moment: 1.7 Bohr magnetons per cell

a = 8.2501 Å, b = 8.2501 Å, c = 10.5100 Å
α = 90.00°, β = 90.00°, γ = 152.07°
Sites, in units of the cell vectors:
K  0.2452  0.7548  0.7500
K  0.7548  0.2452  0.2500
Nb  0.0000  0.0000  0.0000
Nb  0.0000  0.0000  0.5000
Te  0.3712  0.6288  0.0278
Te  0.3712  0.6288  0.4722
Te  0.6288  0.3712  0.5278
Te  0.6288  0.3712  0.9722
Au  0.4546  0.5454  0.2500
Au  0.5454  0.4546  0.7500
Se  0.0637  0.9363  0.2500
Se  0.9363  0.0637  0.7500

[4]
Entry from OQMD: a relaxed SrB4Pd crystal (PBE-GGA).

energy above the most stable polymorph in this dataset: 40 meV/atom

a = 5.2420 Å, b = 5.2420 Å, c = 5.2420 Å
α = 145.97°, β = 117.67°, γ = 72.95°
Sites, in units of the cell vectors:
Sr  0.0000  0.0000  0.0000
B  0.0930  0.7539  0.3392
B  0.4147  0.7539  0.6608
B  0.5853  0.2461  0.3392
B  0.9070  0.2461  0.6608
Pd  0.5000  0.5000  0.0000

Number 1: total DFT energy (no corrections) -5.73 eV per atom. Number 2: total DFT energy (no corrections) -4.28 eV per atom. Number 3: total DFT energy (no corrections) -4.48 eV per atom. Number 4: total DFT energy (no corrections) -5.42 eV per atom.